Computed, not measured: crystalline Al2ZnHg at its relaxed geometry at the PBE level of DFT.

Properties
For the excess energy over the best structure of this formula in the dataset, the calculation gives 0 meV per atom. The calculation puts the total energy at -2.17 eV/atom. Its spin magnetization is 0.0 μB per formula unit. The symmetry is C2/m, No. 12. For the formation energy, the calculation gives 0.391 eV per formula unit.

Cell lengths 4.5611, 4.5611, 5.4212 Å; angles 101.30, 101.30, 41.66 degrees
With the nearest neighbours (Å) after each atom.
Sites, in units of the cell vectors:
Al 0.2458 0.2458 0.2232  3 Zn 2.69-2.72, 3 Hg 2.82-2.87, 2 Al 2.93
Al 0.7542 0.7542 0.7768  3 Zn 2.69-2.72, 3 Hg 2.82-2.87, 2 Al 2.93
Zn 0.5000 0.5000 0.0000  6 Al 2.69-2.72
Hg 0.0000 0.0000 0.5000  6 Al 2.82-2.87, 4 Zn 3.16

---

Computed, not measured: crystalline Cr2Ge2H at its relaxed geometry at the PBE level of DFT.

Properties
For the excess energy over the best structure of this formula in the dataset, the calculation gives 407 meV per atom. The calculation puts the total energy at -5.75 eV/atom. Its spin magnetization is 0.0 μB per formula unit. The symmetry is I4/mmm, No. 139.

Cell lengths 6.7126, 6.7126, 6.7126 Å; angles 151.72, 151.72, 40.42 degrees
With the nearest neighbours (Å) after each atom.
Sites, in units of the cell vectors:
Cr 0.2500 0.7500 0.5000  4 Cr 2.32, 4 Ge 2.55
Cr 0.7500 0.2500 0.5000  4 Cr 2.32, 4 Ge 2.55
Ge 0.0954 0.0954 0.0000  1 Ge 2.40, 4 Cr 2.55, 4 H 2.61
Ge 0.9046 0.9046 0.0000  1 Ge 2.40, 4 Cr 2.55, 4 H 2.61
H 0.5000 0.5000 0.0000  8 Ge 2.61

---

Computed, not measured: crystalline Tb5Hg4Ru at its relaxed geometry at the PBE level of DFT.

Properties
The calculation puts the total energy at -3.82 eV/atom. Its spin magnetization is 0.1 μB per formula unit. The symmetry is P4/mmm, No. 123. For the formation energy, the calculation gives -4.605 eV per formula unit.

Cell lengths 3.5994, 3.5994, 19.1247 Å; angles 90.00, 90.00, 90.00 degrees
With the nearest neighbours (Å) after each atom.
Sites, in units of the cell vectors:
Tb 0.0000 0.0000 0.0000  8 Hg 3.22, 4 Tb 3.60
Tb 0.0000 0.0000 0.2056  8 Hg 3.20-3.22
Tb 0.0000 0.0000 0.4150  4 Ru 3.02, 1 Tb 3.25, 4 Hg 3.28
Tb 0.0000 0.0000 0.5850  4 Ru 3.02, 1 Tb 3.25, 4 Hg 3.28
Tb 0.0000 0.0000 0.7944  8 Hg 3.20-3.22
Hg 0.5000 0.5000 0.1028  8 Tb 3.22, 4 Hg 3.60
Hg 0.5000 0.5000 0.3067  8 Tb 3.20-3.28
Hg 0.5000 0.5000 0.6933  8 Tb 3.20-3.28
Hg 0.5000 0.5000 0.8972  8 Tb 3.22, 4 Hg 3.60
Ru 0.5000 0.5000 0.5000  8 Tb 3.02

---

Computed, not measured: crystalline Dy6YTh12 at its relaxed geometry at the PBE level of DFT.

Properties
The calculation puts the total energy at -6.23 eV/atom. Its spin magnetization is 0.0 μB per formula unit. The symmetry is R-3m, No. 166. For the formation energy, the calculation gives 4.699 eV per formula unit.

Cell lengths 8.7281, 8.7281, 8.7281 Å; angles 99.61, 99.61, 99.61 degrees
With the nearest neighbours (Å) after each atom.
Sites, in units of the cell vectors:
Dy 0.1605 0.5990 0.5990  1 Dy 3.10, 1 Y 3.43, 2 Th 3.43
Dy 0.4010 0.4010 0.8395  1 Dy 3.10, 1 Y 3.43, 2 Th 3.43
Dy 0.4010 0.8395 0.4010  1 Dy 3.10, 1 Y 3.43, 2 Th 3.43
Dy 0.5990 0.1605 0.5990  1 Dy 3.10, 1 Y 3.43, 2 Th 3.43
Dy 0.5990 0.5990 0.1605  1 Dy 3.10, 1 Y 3.43, 2 Th 3.43
Dy 0.8395 0.4010 0.4010  1 Dy 3.10, 1 Y 3.43, 2 Th 3.43
Y 0.5000 0.5000 0.5000  6 Dy 3.43, 6 Th 3.82
Th 0.0000 0.2527 0.7473  6 Th 3.37-3.51, 4 Dy 3.43-3.64
Th 0.0000 0.7473 0.2527  6 Th 3.37-3.51, 4 Dy 3.43-3.64
Th 0.1502 0.1502 0.4170  6 Th 3.41-3.56, 2 Dy 3.76
Th 0.1502 0.4170 0.1502  6 Th 3.41-3.56, 2 Dy 3.76
Th 0.2527 0.0000 0.7473  6 Th 3.37-3.51, 4 Dy 3.43-3.64
Th 0.2527 0.7473 0.0000  6 Th 3.37-3.51, 4 Dy 3.43-3.64
Th 0.4170 0.1502 0.1502  6 Th 3.41-3.56, 2 Dy 3.76
Th 0.5830 0.8498 0.8498  6 Th 3.41-3.56, 2 Dy 3.76
Th 0.7473 0.0000 0.2527  6 Th 3.37-3.51, 4 Dy 3.43-3.64
Th 0.7473 0.2527 0.0000  6 Th 3.37-3.51, 4 Dy 3.43-3.64
Th 0.8498 0.5830 0.8498  6 Th 3.41-3.56, 2 Dy 3.76
Th 0.8498 0.8498 0.5830  6 Th 3.41-3.56, 2 Dy 3.76

---

Computed, not measured: crystalline Pm4IrPb2 at its relaxed geometry at the PBE level of DFT.

Properties
For the excess energy over the best structure of this formula in the dataset, the calculation gives 179 meV per atom. The calculation puts the total energy at -5.43 eV/atom. Its spin magnetization is 0.0 μB per formula unit. The symmetry is I4/mmm, No. 139. For the formation energy, the calculation gives -2.729 eV per formula unit.

Cell lengths 9.2286, 9.2286, 9.2286 Å; angles 146.53, 146.53, 48.07 degrees
With the nearest neighbours (Å) after each atom.
Sites, in units of the cell vectors:
Pm 0.0000 0.5000 0.5000  2 Ir 2.66
Pm 0.1750 0.1750 0.0000  1 Ir 2.95, 1 Pb 3.18
Pm 0.5000 0.0000 0.5000  2 Ir 2.66
Pm 0.8250 0.8250 0.0000  1 Ir 2.95, 1 Pb 3.18
Ir 0.0000 0.0000 0.0000  6 Pm 2.66-2.95
Pb 0.3636 0.3636 0.0000  5 Pm 3.18-3.51
Pb 0.6364 0.6364 0.0000  5 Pm 3.18-3.51

---

Computed, not measured: crystalline RbNa2HgBr6 at its relaxed geometry at the PBE level of DFT.

Properties
As for the uncorrected formation energy: -1.032 eV/atom. The calculation puts the total energy at -2.43 eV/atom. Its spin magnetization is 1.0 μB per formula unit. The symmetry is C2/c, No. 15.

Cell lengths 10.8684, 10.8684, 8.6943 Å; angles 108.30, 108.30, 101.38 degrees
With the nearest neighbours (Å) after each atom.
Sites, in units of the cell vectors:
Rb 0.1020 0.8980 0.7500  6 Br 3.51-3.52
Rb 0.8980 0.1020 0.2500  6 Br 3.51-3.52
Na 0.2796 0.4730 0.8951  5 Br 2.86-3.08
Na 0.4730 0.2796 0.3951  5 Br 2.86-3.08
Na 0.5270 0.7204 0.6049  5 Br 2.86-3.08
Na 0.7204 0.5270 0.1049  5 Br 2.86-3.08
Hg 0.1663 0.8337 0.2500  4 Br 2.64-2.74
Hg 0.8337 0.1663 0.7500  4 Br 2.64-2.74
Br 0.0759 0.2038 0.7076  1 Hg 2.74, 1 Na 2.88
Br 0.1223 0.6541 0.9363  1 Hg 2.64, 1 Na 2.86
Br 0.2038 0.0759 0.2076  1 Hg 2.74, 1 Na 2.88
Br 0.3422 0.4532 0.5777  1 Br 2.92, 3 Na 2.95-3.08
Br 0.3459 0.8777 0.5637  1 Hg 2.64, 1 Na 2.86
Br 0.4532 0.3422 0.0777  1 Br 2.92, 3 Na 2.95-3.08
Br 0.5468 0.6578 0.9223  1 Br 2.92, 3 Na 2.95-3.08
Br 0.6541 0.1223 0.4363  1 Hg 2.64, 1 Na 2.86
Br 0.6578 0.5468 0.4223  1 Br 2.92, 3 Na 2.95-3.08
Br 0.7962 0.9241 0.7924  1 Hg 2.74, 1 Na 2.88
Br 0.8777 0.3459 0.0637  1 Hg 2.64, 1 Na 2.86
Br 0.9241 0.7962 0.2924  1 Hg 2.74, 1 Na 2.88

---

Computed, not measured: crystalline CrInCu2P at its relaxed geometry at the PBE level of DFT.

Properties
For the excess energy over the best structure of this formula in the dataset, the calculation gives 0 meV per atom. The calculation puts the total energy at -4.64 eV/atom. Its spin magnetization is 4.7 μB per formula unit. The symmetry is P4/mmm, No. 123. For the formation energy, the calculation gives 2.765 eV per formula unit.

Cell lengths 4.2786, 4.2786, 5.6669 Å; angles 90.00, 90.00, 90.00 degrees
With the nearest neighbours (Å) after each atom.
Sites, in units of the cell vectors:
Cr 0.0000 0.0000 0.0000  4 In 3.03
In 0.5000 0.5000 0.0000  2 P 2.83, 4 Cr 3.03
Cu 0.0000 0.5000 0.5000  2 P 2.14
Cu 0.5000 0.0000 0.5000  2 P 2.14
P 0.5000 0.5000 0.5000  4 Cu 2.14

---

Computed, not measured: crystalline Ta3Nb4Pt2 at its relaxed geometry at the PBE level of DFT.

Properties
The calculation puts the total energy at -10.00 eV/atom. Its spin magnetization is 0.0 μB per formula unit. The symmetry is C2/c, No. 15. For the formation energy, the calculation gives -2.112 eV per formula unit.

Cell lengths 8.0208, 8.0208, 5.2596 Å; angles 100.25, 100.25, 82.81 degrees
With the nearest neighbours (Å) after each atom.
Sites, in units of the cell vectors:
Ta 0.0081 0.9919 0.7500  2 Ta 2.64, 2 Pt 2.93
Ta 0.3357 0.4557 0.5273  2 Pt 2.69-2.76, 3 Nb 2.72-2.92, 4 Ta 2.89-3.00
Ta 0.4557 0.3357 0.0273  2 Pt 2.69-2.76, 3 Nb 2.72-2.92, 4 Ta 2.89-3.00
Ta 0.5443 0.6643 0.9727  2 Pt 2.69-2.76, 3 Nb 2.72-2.92, 4 Ta 2.89-3.00
Ta 0.6643 0.5443 0.4727  2 Pt 2.69-2.76, 3 Nb 2.72-2.92, 4 Ta 2.89-3.00
Ta 0.9919 0.0081 0.2500  2 Ta 2.64, 2 Pt 2.93
Nb 0.0059 0.6455 0.3890  4 Pt 2.78-3.09, 3 Nb 2.81-3.01, 4 Ta 2.92-3.11
Nb 0.2030 0.6680 0.9619  1 Pt 2.67, 2 Ta 2.72-2.88, 1 Nb 2.94
Nb 0.3320 0.7970 0.5381  1 Pt 2.67, 2 Ta 2.72-2.88, 1 Nb 2.94
Nb 0.3545 0.9941 0.1110  4 Pt 2.78-3.09, 3 Nb 2.81-3.01, 4 Ta 2.92-3.11
Nb 0.6455 0.0059 0.8890  4 Pt 2.78-3.09, 3 Nb 2.81-3.01, 4 Ta 2.92-3.11
Nb 0.6680 0.2030 0.4619  1 Pt 2.67, 2 Ta 2.72-2.88, 1 Nb 2.94
Nb 0.7970 0.3320 0.0381  1 Pt 2.67, 2 Ta 2.72-2.88, 1 Nb 2.94
Nb 0.9941 0.3545 0.6110  4 Pt 2.78-3.09, 3 Nb 2.81-3.01, 4 Ta 2.92-3.11
Pt 0.1367 0.2919 0.1155  4 Nb 2.67-2.97, 4 Ta 2.69-2.97
Pt 0.2919 0.1367 0.6155  4 Nb 2.67-2.97, 4 Ta 2.69-2.97
Pt 0.7081 0.8633 0.3845  4 Nb 2.67-2.97, 4 Ta 2.69-2.97
Pt 0.8633 0.7081 0.8845  4 Nb 2.67-2.97, 4 Ta 2.69-2.97